(1)
Sc2BrCl | PBE | optimized geometry

Space-group type: Cmmm (65)
Uncorrected formation energy (kJ per mole of atoms): -82.85
Excess energy over the best structure of this formula in the dataset (kJ/mol of formula units): 159.2

Lattice parameters (Å, degrees): 3.305 6.176 8.843 90.00 90.00 90.00
Sites, in units of the cell vectors:
Sc: 0.000 0.000 0.243
Sc: 0.000 0.000 0.757
Sc: 0.500 0.500 0.243
Sc: 0.500 0.500 0.757
Br: 0.000 0.500 0.500
Br: 0.500 0.000 0.500
Cl: 0.000 0.500 0.000
Cl: 0.500 0.000 0.000

---

(2)
Be2FeCoCl | PBE | optimized geometry

Space-group type: P4/mmm (123)
Uncorrected formation energy (kJ per mole of atoms): 97.14

Lattice parameters (Å, degrees): 4.027 4.027 4.469 90.00 90.00 90.00
Sites, in units of the cell vectors:
Be: 0.000 0.500 0.000
Be: 0.500 0.000 0.000
Fe: 0.000 0.000 0.500
Co: 0.500 0.500 0.000
Cl: 0.500 0.500 0.500

---

(3)
Sc2MnW2 | PBE | optimized geometry

Space-group type: P4/mbm (127)
Formation energy from the elements (eV per atom): 0.288

Lattice parameters (Å, degrees): 6.226 6.226 4.745 90.00 90.00 90.00
Sites, in units of the cell vectors:
Sc: 0.168 0.332 0.000
Sc: 0.332 0.832 0.000
Sc: 0.668 0.168 0.000
Sc: 0.832 0.668 0.000
Mn: 0.000 0.000 0.500
Mn: 0.500 0.500 0.500
W: 0.147 0.647 0.500
W: 0.353 0.147 0.500
W: 0.647 0.853 0.500
W: 0.853 0.353 0.500

---

(4)
CsYOsO6 | PBE | optimized geometry

Space-group type: P312 (149)
Uncorrected formation energy (kJ per mole of atoms): -172.03

Lattice parameters (Å, degrees): 5.680 5.680 6.516 90.00 90.00 120.00
Sites, in units of the cell vectors:
Cs: 0.000 0.000 0.000
Y: 0.333 0.667 0.500
Os: 0.667 0.333 0.500
O: 0.417 0.049 0.668
O: 0.417 0.368 0.332
O: 0.632 0.049 0.332
O: 0.632 0.583 0.668
O: 0.951 0.368 0.668
O: 0.951 0.583 0.332

---

(5)
Th8Te4P3Rh | PBE | optimized geometry

Space-group type: R-3m (166)
Uncorrected formation energy (kJ per mole of atoms): -122.04

Lattice parameters (Å, degrees): 8.823 8.823 8.823 57.39 57.39 57.39
Sites, in units of the cell vectors:
Th: 0.236 0.236 0.236
Th: 0.238 0.736 0.736
Th: 0.264 0.264 0.762
Th: 0.264 0.762 0.264
Th: 0.736 0.238 0.736
Th: 0.736 0.736 0.238
Th: 0.762 0.264 0.264
Th: 0.764 0.764 0.764
Te: 0.000 0.000 0.000
Te: 0.000 0.500 0.500
Te: 0.500 0.000 0.500
Te: 0.500 0.500 0.000
P: 0.000 0.000 0.500
P: 0.000 0.500 0.000
P: 0.500 0.000 0.000
Rh: 0.500 0.500 0.500

---

(6)
Eu3Au | PBE | optimized geometry

Space-group type: Pnma (62)
Excess energy over the best structure of this formula in the dataset (kJ/mol of formula units): 0.0
Formation energy from the elements (eV per atom): -0.441

Lattice parameters (Å, degrees): 8.020 10.199 6.824 90.00 90.00 90.00
Sites, in units of the cell vectors:
Eu: 0.033 0.250 0.137
Eu: 0.178 0.060 0.657
Eu: 0.178 0.440 0.657
Eu: 0.322 0.560 0.157
Eu: 0.322 0.940 0.157
Eu: 0.467 0.750 0.637
Eu: 0.533 0.250 0.363
Eu: 0.678 0.060 0.843
Eu: 0.678 0.440 0.843
Eu: 0.822 0.560 0.343
Eu: 0.822 0.940 0.343
Eu: 0.967 0.750 0.863
Au: 0.120 0.750 0.439
Au: 0.380 0.250 0.939
Au: 0.620 0.750 0.061
Au: 0.880 0.250 0.561